BaSr2Ta | the Alexandria database | PBE-GGA | optimized geometry; energy = -3.2735 eV/atom; distance to the lowest polymorph of the same formula = 180 meV per atom; ΔE_f = 1011 meV per atom
1.0
6.7304 0.0045 0.0000
-2.5843 6.2144 0.0000
0.0000 0.0000 3.6298
Sr Ba Ta
2 1 1
direct
0.5000 0.5000 0.0000
0.0000 0.0000 0.0000
0.0000 0.5000 0.5000
0.5000 0.0000 0.5000

BaSrTa2 | the Alexandria database | PBE-GGA | optimized geometry; energy = -5.2290 eV/atom; distance to the lowest polymorph of the same formula = 1042 meV per atom; ΔE_f = 1598 meV per atom
1.0
-5.0840 -0.2573 3.3028
2.3263 -4.5845 3.2237
1.2019 2.0216 2.0076
Sr Ba Ta
1 1 2
direct
0.0000 0.5000 0.5000
0.5000 0.0000 0.5000
0.5000 0.5000 0.0000
0.0000 0.0000 0.0000

BaSrTa2 | the Alexandria database | PBE-GGA | optimized geometry; energy = -5.5552 eV/atom; distance to the lowest polymorph of the same formula = 716 meV per atom; ΔE_f = 1272 meV per atom
1.0
6.3997 0.0004 0.0000
3.4548 5.3871 0.0000
-4.9273 -2.6938 3.0696
Ba Ta Sr
1 2 1
direct
0.2500 0.7500 0.5000
0.0000 0.0000 0.0000
0.5000 0.5000 0.0000
0.7500 0.2500 0.5000

- Which value of ΔE_f does entry 1 give?
  1011 meV per atom